Record 1
# HgTeP2 | the Alexandria database | GGA-PBE | relaxed
# E_form (uncorrected) ... 438 meV per atom
data_HgTeP2
_chemical_formula_sum 'Hg1 Te1 P2'
_cell_length_a 3.737
_cell_length_b 4.016
_cell_length_c 8.074
_cell_angle_alpha 90.00
_cell_angle_beta 90.00
_cell_angle_gamma 90.00
_space_group_name_H-M_alt 'P m m m'
_space_group_IT_number 47
loop_
_space_group_symop_operation_xyz
'x,y,z'
'-x,-y,-z'
'-x,-y,z'
'x,y,-z'
'x,-y,-z'
'-x,y,z'
'-x,y,-z'
'x,-y,z'
loop_
_atom_site_label
_atom_site_type_symbol
_atom_site_fract_x
_atom_site_fract_y
_atom_site_fract_z
Hg1 Hg 0.000 0.000 0.000
Te1 Te 0.000 0.000 0.500
P1 P 0.500 0.500 0.369

---

Record 2
# Hg2TeP | the Alexandria database | GGA-PBE | relaxed
# E_form (uncorrected) ... 176 meV per atom
data_Hg2TeP
_chemical_formula_sum 'Hg4 Te2 P2'
_cell_length_a 7.847
_cell_length_b 3.620
_cell_length_c 7.510
_cell_angle_alpha 90.00
_cell_angle_beta 101.90
_cell_angle_gamma 90.00
_space_group_name_H-M_alt 'C 1 m 1'
_space_group_IT_number 8
loop_
_space_group_symop_operation_xyz
'x,y,z'
'x,-y,z'
'x+1/2,y+1/2,z'
'x+1/2,-y+1/2,z'
loop_
_atom_site_label
_atom_site_type_symbol
_atom_site_fract_x
_atom_site_fract_y
_atom_site_fract_z
Hg1 Hg 0.000 0.000 0.000
Hg2 Hg 0.218 0.000 0.741
Te1 Te 0.293 0.500 0.295
P1 P 0.439 0.000 0.525

---

Record 3
# HgTeP2 | the Alexandria database | GGA-PBE | relaxed
# E_form (uncorrected) ... 488 meV per atom
data_HgTeP2
_chemical_formula_sum 'Hg4 Te4 P8'
_cell_length_a 5.795
_cell_length_b 5.795
_cell_length_c 13.494
_cell_angle_alpha 90.00
_cell_angle_beta 90.00
_cell_angle_gamma 90.00
_space_group_name_H-M_alt 'I -4 2 d'
_space_group_IT_number 122
_space_group_name_Hall 'I -4 2bw'
loop_
_atom_site_label
_atom_site_type_symbol
_atom_site_fract_x
_atom_site_fract_y
_atom_site_fract_z
Hg1 Hg 0.000 0.000 0.000
Te1 Te 0.000 0.000 0.500
P1 P 0.246 0.250 0.125

---

Record 4
# HgTeP2 | the Alexandria database | GGA-PBE | relaxed
# E_form (uncorrected) ... 648 meV per atom
data_HgTeP2
_chemical_formula_sum 'Hg1 Te1 P2'
_cell_length_a 3.760
_cell_length_b 3.773
_cell_length_c 7.313
_cell_angle_alpha 90.00
_cell_angle_beta 90.00
_cell_angle_gamma 90.00
_space_group_name_H-M_alt 'P m m m'
_space_group_IT_number 47
loop_
_space_group_symop_operation_xyz
'x,y,z'
'-x,-y,-z'
'-x,-y,z'
'x,y,-z'
'x,-y,-z'
'-x,y,z'
'-x,y,-z'
'x,-y,z'
loop_
_atom_site_label
_atom_site_type_symbol
_atom_site_fract_x
_atom_site_fract_y
_atom_site_fract_z
Hg1 Hg 0.000 0.000 0.000
Te1 Te 0.000 0.500 0.500
P1 P 0.500 0.000 0.500
P2 P 0.500 0.500 0.000

---

Record 5
# Hg2TeP | the Alexandria database | GGA-PBE | relaxed
# E_form (uncorrected) ... 498 meV per atom
data_Hg2TeP
_chemical_formula_sum 'Hg8 Te4 P4'
_cell_length_a 7.261
_cell_length_b 7.261
_cell_length_c 7.261
_cell_angle_alpha 90.00
_cell_angle_beta 90.00
_cell_angle_gamma 90.00
_space_group_name_H-M_alt 'F -4 3 m'
_space_group_IT_number 216
_space_group_name_Hall 'F -4 2 3'
loop_
_atom_site_label
_atom_site_type_symbol
_atom_site_fract_x
_atom_site_fract_y
_atom_site_fract_z
Hg1 Hg 0.000 0.000 0.000
Hg2 Hg 0.250 0.250 0.250
Te1 Te 0.000 0.000 0.500
P1 P 0.250 0.250 0.750

---

Record 6
# Hg2TeP | the Alexandria database | GGA-PBE | relaxed
# E_form (uncorrected) ... 262 meV per atom
data_Hg2TeP
_chemical_formula_sum 'Hg4 Te2 P2'
_cell_length_a 15.107
_cell_length_b 3.827
_cell_length_c 3.915
_cell_angle_alpha 90.00
_cell_angle_beta 104.80
_cell_angle_gamma 90.00
_space_group_name_H-M_alt 'C 1 2/m 1'
_space_group_IT_number 12
loop_
_space_group_symop_operation_xyz
'x,y,z'
'-x,-y,-z'
'-x,y,-z'
'x,-y,z'
'x+1/2,y+1/2,z'
'-x+1/2,-y+1/2,-z'
'-x+1/2,y+1/2,-z'
'x+1/2,-y+1/2,z'
loop_
_atom_site_label
_atom_site_type_symbol
_atom_site_fract_x
_atom_site_fract_y
_atom_site_fract_z
Hg1 Hg 0.199 0.000 0.199
Te1 Te 0.000 0.000 0.500
P1 P 0.000 0.500 0.000

---

Record 7
# Hg2TeP | the Alexandria database | GGA-PBE | relaxed
# E_form (uncorrected) ... 236 meV per atom
data_Hg2TeP
_chemical_formula_sum 'Hg4 Te2 P2'
_cell_length_a 3.588
_cell_length_b 6.318
_cell_length_c 10.355
_cell_angle_alpha 90.00
_cell_angle_beta 90.00
_cell_angle_gamma 90.00
_space_group_name_H-M_alt 'I m m 2'
_space_group_IT_number 44
loop_
_space_group_symop_operation_xyz
'x,y,z'
'-x,-y,z'
'-x,y,z'
'x,-y,z'
'x+1/2,y+1/2,z+1/2'
'-x+1/2,-y+1/2,z+1/2'
'-x+1/2,y+1/2,z+1/2'
'x+1/2,-y+1/2,z+1/2'
loop_
_atom_site_label
_atom_site_type_symbol
_atom_site_fract_x
_atom_site_fract_y
_atom_site_fract_z
Hg1 Hg 0.000 0.000 0.000
Hg2 Hg 0.000 0.500 0.222
Te1 Te 0.000 0.000 0.425
P1 P 0.000 0.500 0.758

---

Record 8
# Hg2TeP | the Alexandria database | GGA-PBE | relaxed
# E_form (uncorrected) ... 382 meV per atom
data_Hg2TeP
_chemical_formula_sum 'Hg4 Te2 P2'
_cell_length_a 5.590
_cell_length_b 13.483
_cell_length_c 2.945
_cell_angle_alpha 90.00
_cell_angle_beta 90.00
_cell_angle_gamma 90.00
_space_group_name_H-M_alt 'C m m m'
_space_group_IT_number 65
_space_group_name_Hall '-C 2 2'
loop_
_atom_site_label
_atom_site_type_symbol
_atom_site_fract_x
_atom_site_fract_y
_atom_site_fract_z
Hg1 Hg 0.250 0.250 0.000
Te1 Te 0.000 0.000 0.500
P1 P 0.000 0.500 0.500

---

Record 9
# HgTe2P2 | the Alexandria database | GGA-PBE | relaxed
# E_form (uncorrected) ... 324 meV per atom
data_HgTe2P2
_chemical_formula_sum 'Hg2 Te4 P4'
_cell_length_a 4.990
_cell_length_b 4.990
_cell_length_c 12.881
_cell_angle_alpha 90.00
_cell_angle_beta 90.00
_cell_angle_gamma 90.00
_space_group_name_H-M_alt 'I 4/m m m'
_space_group_IT_number 139
_space_group_name_Hall '-I 4 2'
loop_
_atom_site_label
_atom_site_type_symbol
_atom_site_fract_x
_atom_site_fract_y
_atom_site_fract_z
Hg1 Hg 0.000 0.000 0.000
Te1 Te 0.000 0.000 0.327
P1 P 0.000 0.500 0.250

---

Record 10
# Hg2TeP | the Alexandria database | GGA-PBE | relaxed
# E_form (uncorrected) ... 209 meV per atom
data_Hg2TeP
_chemical_formula_sum 'Hg2 Te1 P1'
_cell_length_a 5.097
_cell_length_b 4.072
_cell_length_c 5.135
_cell_angle_alpha 90.00
_cell_angle_beta 109.72
_cell_angle_gamma 90.00
_space_group_name_H-M_alt 'P 1 2/m 1'
_space_group_IT_number 10
loop_
_space_group_symop_operation_xyz
'x,y,z'
'-x,-y,-z'
'-x,y,-z'
'x,-y,z'
loop_
_atom_site_label
_atom_site_type_symbol
_atom_site_fract_x
_atom_site_fract_y
_atom_site_fract_z
Hg1 Hg 0.219 0.000 0.281
Te1 Te 0.500 0.500 0.000
P1 P 0.000 0.500 0.500

---

Record 11
# Hg2TeP | the Alexandria database | GGA-PBE | relaxed
# E_form (uncorrected) ... 220 meV per atom
data_Hg2TeP
_chemical_formula_sum 'Hg2 Te1 P1'
_cell_length_a 3.527
_cell_length_b 3.527
_cell_length_c 9.333
_cell_angle_alpha 90.00
_cell_angle_beta 90.00
_cell_angle_gamma 90.00
_space_group_name_H-M_alt 'P 4 m m'
_space_group_IT_number 99
loop_
_space_group_symop_operation_xyz
'x,y,z'
'-y,x,z'
'-x,-y,z'
'y,-x,z'
'-x,y,z'
'y,x,z'
'x,-y,z'
'-y,-x,z'
loop_
_atom_site_label
_atom_site_type_symbol
_atom_site_fract_x
_atom_site_fract_y
_atom_site_fract_z
Hg1 Hg 0.000 0.000 0.000
Hg2 Hg 0.500 0.500 0.261
Te1 Te 0.500 0.500 0.669
P1 P 0.000 0.000 0.554

---

Record 12
# HgTeP2 | the Alexandria database | GGA-PBE | relaxed
# E_form (uncorrected) ... 349 meV per atom
data_HgTeP2
_chemical_formula_sum 'Hg2 Te2 P4'
_cell_length_a 6.843
_cell_length_b 3.967
_cell_length_c 6.831
_cell_angle_alpha 90.00
_cell_angle_beta 109.86
_cell_angle_gamma 90.00
_space_group_name_H-M_alt 'C 1 2/m 1'
_space_group_IT_number 12
loop_
_space_group_symop_operation_xyz
'x,y,z'
'-x,-y,-z'
'-x,y,-z'
'x,-y,z'
'x+1/2,y+1/2,z'
'-x+1/2,-y+1/2,-z'
'-x+1/2,y+1/2,-z'
'x+1/2,-y+1/2,z'
loop_
_atom_site_label
_atom_site_type_symbol
_atom_site_fract_x
_atom_site_fract_y
_atom_site_fract_z
Hg1 Hg 0.000 0.000 0.000
Te1 Te 0.000 0.500 0.500
P1 P 0.249 0.500 0.250

---

Record 13
# HgTeP2 | the Alexandria database | GGA-PBE | relaxed
# E_form (uncorrected) ... 754 meV per atom
data_HgTeP2
_chemical_formula_sum 'Hg4 Te4 P8'
_cell_length_a 6.920
_cell_length_b 6.920
_cell_length_c 6.920
_cell_angle_alpha 90.00
_cell_angle_beta 90.00
_cell_angle_gamma 90.00
_space_group_name_H-M_alt 'F -4 3 m'
_space_group_IT_number 216
_space_group_name_Hall 'F -4 2 3'
loop_
_atom_site_label
_atom_site_type_symbol
_atom_site_fract_x
_atom_site_fract_y
_atom_site_fract_z
Hg1 Hg 0.000 0.000 0.000
Te1 Te 0.250 0.250 0.750
P1 P 0.000 0.000 0.500
P2 P 0.250 0.250 0.250

---

Record 14
# Hg2TeP | the Alexandria database | GGA-PBE | relaxed
# E_form (uncorrected) ... 592 meV per atom
data_Hg2TeP
_chemical_formula_sum 'Hg8 Te4 P4'
_cell_length_a 7.256
_cell_length_b 7.256
_cell_length_c 7.256
_cell_angle_alpha 90.00
_cell_angle_beta 90.00
_cell_angle_gamma 90.00
_space_group_name_H-M_alt 'F m -3 m'
_space_group_IT_number 225
_space_group_name_Hall '-F 4 2 3'
loop_
_atom_site_label
_atom_site_type_symbol
_atom_site_fract_x
_atom_site_fract_y
_atom_site_fract_z
Hg1 Hg 0.250 0.250 0.250
Te1 Te 0.000 0.000 0.000
P1 P 0.000 0.000 0.500

---

Record 15
# HgTeP | the Alexandria database | GGA-PBE | relaxed
# E_form (uncorrected) ... 365 meV per atom
data_HgTeP
_chemical_formula_sum 'Hg4 Te4 P4'
_cell_length_a 3.536
_cell_length_b 7.469
_cell_length_c 15.909
_cell_angle_alpha 90.00
_cell_angle_beta 90.00
_cell_angle_gamma 90.00
_space_group_name_H-M_alt 'F m m 2'
_space_group_IT_number 42
_space_group_name_Hall 'F 2 -2'
loop_
_atom_site_label
_atom_site_type_symbol
_atom_site_fract_x
_atom_site_fract_y
_atom_site_fract_z
Hg1 Hg 0.000 0.000 0.000
Te1 Te 0.000 0.000 0.284
P1 P 0.000 0.000 0.676